# 1
Entry from Alexandria via LeMat-Bulk: a relaxed HoNb2S5 crystal (GGA-PBE). Values from VASP.

Results
**Total DFT energy (no corrections)**: -6.791 eV per atom
**Energy relative to the elements, uncorrected**: -1.122 eV/atom
**Space-group type**: P-1 (2)

Quantum ESPRESSO input file:
```
&SYSTEM
  ibrav = 0, nat = 8, ntyp = 3
/
ATOMIC_SPECIES
Nb 92.91 Nb.upf
S 32.06 S.upf
Ho 164.93 Ho.upf
CELL_PARAMETERS angstrom
5.248 0.947 1.782
3.939 7.445 1.347
0.700 0.482 6.681
ATOMIC_POSITIONS crystal
Nb 0.770 0.509 0.913
Nb 0.230 0.491 0.087
S 0.395 0.263 0.845
S 0.000 0.500 0.500
S 0.755 0.258 0.160
S 0.245 0.742 0.840
S 0.605 0.737 0.155
Ho 0.500 0.500 0.500
```

=====

# 2
Entry from Alexandria via LeMat-Bulk: a relaxed Cs2CaBCl6 crystal (GGA-PBE). Values from VASP.

Results
**Total DFT energy (no corrections)**: -3.463 eV per atom
**Energy relative to the elements, uncorrected**: -1.316 eV/atom
**Space-group type**: I4/mmm (139)

Quantum ESPRESSO input file:
```
&SYSTEM
  ibrav = 0, nat = 10, ntyp = 4
/
ATOMIC_SPECIES
Cl 35.45 Cl.upf
B 10.81 B.upf
Cs 132.91 Cs.upf
Ca 40.08 Ca.upf
CELL_PARAMETERS angstrom
7.281 0.000 0.000
0.000 7.281 0.000
3.641 3.641 5.159
ATOMIC_POSITIONS crystal
Cl 0.732 0.732 0.537
Cl 0.268 0.268 0.463
Cl 0.731 0.731 0.000
Cl 0.269 0.731 0.000
Cl 0.731 0.269 0.000
Cl 0.269 0.269 0.000
B 0.500 0.500 0.000
Cs 0.250 0.750 0.500
Cs 0.750 0.250 0.500
Ca 0.000 0.000 0.000
```

=====

# 3
Entry from Alexandria via LeMat-Bulk: a relaxed BaSrTaBr2 crystal (GGA-PBE). Values from VASP.

Results
**Total DFT energy (no corrections)**: -3.535 eV per atom
**Energy relative to the elements, uncorrected**: 0.226 eV/atom
**Space-group type**: P4/mmm (123)

Quantum ESPRESSO input file:
```
&SYSTEM
  ibrav = 0, nat = 5, ntyp = 4
/
ATOMIC_SPECIES
Sr 87.62 Sr.upf
Ba 137.33 Ba.upf
Br 79.90 Br.upf
Ta 180.95 Ta.upf
CELL_PARAMETERS angstrom
-3.175 -4.866 1.658
4.482 -1.280 4.829
-3.185 3.392 3.855
ATOMIC_POSITIONS crystal
Sr 0.500 0.500 0.500
Ba 0.000 0.000 0.000
Br 0.000 0.000 0.500
Br 0.500 0.000 0.000
Ta 0.000 0.500 0.000
```

=====

# 4
Entry from Alexandria via LeMat-Bulk: a relaxed KRbMn2In crystal (GGA-PBE). Values from VASP.

Results
**Total DFT energy (no corrections)**: -3.057 eV per atom
**Formation energy**: 1.571 eV per atom
**Space-group type**: P4/mmm (123)

Quantum ESPRESSO input file:
```
&SYSTEM
  ibrav = 0, nat = 5, ntyp = 4
/
ATOMIC_SPECIES
Mn 54.94 Mn.upf
K 39.10 K.upf
In 114.82 In.upf
Rb 85.47 Rb.upf
CELL_PARAMETERS angstrom
-0.370 5.884 0.249
-1.194 -0.329 5.990
5.775 0.313 1.169
ATOMIC_POSITIONS crystal
Mn 0.000 0.000 0.500
Mn 0.500 0.000 0.000
K 0.000 0.500 0.000
In 0.500 0.500 0.500
Rb 0.000 0.000 0.000
```

=====

# 5
Entry from Alexandria via LeMat-Bulk: a relaxed PaAlCuRu crystal (GGA-PBE). Values from VASP.

Results
**Total DFT energy (no corrections)**: -6.906 eV per atom
**Formation energy**: -0.254 eV per atom
**Space-group type**: F-43m (216)

Quantum ESPRESSO input file:
```
&SYSTEM
  ibrav = 0, nat = 4, ntyp = 4
/
ATOMIC_SPECIES
Cu 63.55 Cu.upf
Ru 101.07 Ru.upf
Al 26.98 Al.upf
Pa 231.04 Pa.upf
CELL_PARAMETERS angstrom
-0.332 2.599 3.816
-2.199 -1.636 3.731
2.403 -1.136 3.790
ATOMIC_POSITIONS crystal
Cu 0.000 0.000 0.000
Ru 0.500 0.500 0.500
Al 0.250 0.250 0.250
Pa 0.750 0.750 0.750
```

=====

# 6
Entry from Alexandria via LeMat-Bulk: a relaxed Sr2CaCu crystal (GGA-PBE). Values from VASP.

Results
**Total DFT energy (no corrections)**: -2.306 eV per atom
**Energy above the lowest structure with this stoichiometry**: 0.084 eV/atom
**Formation energy**: 0.060 eV per atom
**Space-group type**: R-3m (166)

Quantum ESPRESSO input file:
```
&SYSTEM
  ibrav = 0, nat = 4, ntyp = 3
/
ATOMIC_SPECIES
Sr 87.62 Sr.upf
Ca 40.08 Ca.upf
Cu 63.55 Cu.upf
CELL_PARAMETERS angstrom
-8.138 3.173 -6.207
-10.168 2.201 -2.569
-8.322 6.032 -3.030
ATOMIC_POSITIONS crystal
Sr 0.475 0.475 0.475
Sr 0.025 0.025 0.025
Ca 0.250 0.250 0.250
Cu 0.750 0.750 0.750
```

=====

# 7
Entry from Alexandria via LeMat-Bulk: a relaxed RbGa2SnC crystal (GGA-PBE). Values from VASP.

Results
**Total DFT energy (no corrections)**: -1.602 eV per atom
**Formation energy**: 2.447 eV per atom
**Space-group type**: P4/mmm (123)

Quantum ESPRESSO input file:
```
&SYSTEM
  ibrav = 0, nat = 5, ntyp = 4
/
ATOMIC_SPECIES
C 12.01 C.upf
Ga 69.72 Ga.upf
Rb 85.47 Rb.upf
Sn 118.71 Sn.upf
CELL_PARAMETERS angstrom
-1.452 2.889 5.313
-5.780 1.349 -2.313
-2.174 -5.348 2.314
ATOMIC_POSITIONS crystal
C 0.500 0.500 0.500
Ga 0.500 0.000 0.000
Ga 0.000 0.000 0.500
Rb 0.000 0.000 0.000
Sn 0.000 0.500 0.000
```

=====

# 8
Entry from Alexandria via LeMat-Bulk: a relaxed In9Sn4S17 crystal (GGA-PBE). Values from VASP.

Results
**Total DFT energy (no corrections)**: -4.182 eV per atom
**Energy relative to the elements, uncorrected**: -0.488 eV/atom
**Space-group type**: Pbam (55)

Quantum ESPRESSO input file:
```
&SYSTEM
  ibrav = 0, nat = 60, ntyp = 3
/
ATOMIC_SPECIES
Sn 118.71 Sn.upf
In 114.82 In.upf
S 32.06 S.upf
CELL_PARAMETERS angstrom
3.861 0.000 0.000
0.000 15.489 0.000
0.000 0.000 22.845
ATOMIC_POSITIONS crystal
Sn 0.500 0.895 0.287
Sn 0.500 0.605 0.787
Sn 0.500 0.105 0.713
Sn 0.500 0.221 0.566
Sn 0.500 0.721 0.934
Sn 0.500 0.279 0.066
Sn 0.500 0.779 0.434
Sn 0.500 0.395 0.213
In 0.500 0.060 0.140
In 0.500 0.233 0.892
In 0.000 0.500 0.500
In 0.000 0.836 0.736
In 0.000 0.164 0.264
In 0.500 0.560 0.360
In 0.000 0.951 0.576
In 0.500 0.267 0.392
In 0.000 0.549 0.076
In 0.500 0.767 0.108
In 0.000 0.336 0.764
In 0.500 0.940 0.860
In 0.000 0.451 0.924
In 0.000 0.000 0.000
In 0.000 0.664 0.236
In 0.500 0.733 0.608
In 0.000 0.049 0.424
In 0.500 0.440 0.640
S 0.500 0.432 0.434
S 0.000 0.869 0.927
S 0.500 0.782 0.805
S 0.000 0.693 0.680
S 0.500 0.718 0.305
S 0.000 0.983 0.787
S 0.500 0.068 0.934
S 0.500 0.282 0.695
S 0.500 0.000 0.500
S 0.000 0.307 0.320
S 0.500 0.568 0.566
S 0.500 0.500 0.000
S 0.000 0.890 0.372
S 0.000 0.131 0.073
S 0.000 0.713 0.036
S 0.000 0.787 0.536
S 0.500 0.398 0.846
S 0.000 0.369 0.573
S 0.000 0.631 0.427
S 0.000 0.517 0.287
S 0.500 0.102 0.346
S 0.000 0.287 0.964
S 0.500 0.898 0.654
S 0.500 0.218 0.195
S 0.000 0.017 0.213
S 0.500 0.602 0.154
S 0.000 0.213 0.464
S 0.000 0.390 0.128
S 0.000 0.483 0.713
S 0.000 0.610 0.872
S 0.000 0.807 0.180
S 0.000 0.193 0.820
S 0.500 0.932 0.066
S 0.000 0.110 0.628
```

=====

# 9
Entry from Alexandria via LeMat-Bulk: a relaxed ZnPbNO2 crystal (GGA-PBE). Values from VASP.

Results
**Total DFT energy (no corrections)**: -4.501 eV per atom
**Energy relative to the elements, uncorrected**: 0.144 eV/atom
**Space-group type**: P4/mmm (123)

Quantum ESPRESSO input file:
```
&SYSTEM
  ibrav = 0, nat = 5, ntyp = 4
/
ATOMIC_SPECIES
N 14.01 N.upf
O 16.00 O.upf
Zn 65.41 Zn.upf
Pb 207.20 Pb.upf
CELL_PARAMETERS angstrom
4.129 0.000 0.000
0.000 4.129 0.000
0.000 0.000 3.886
ATOMIC_POSITIONS crystal
N 0.000 0.000 0.500
O 0.500 0.000 0.000
O 0.000 0.500 0.000
Zn 0.000 0.000 0.000
Pb 0.500 0.500 0.500
```

=====

# 10
Entry from Alexandria via LeMat-Bulk: a relaxed Th2MgGa3Pd4 crystal (GGA-PBE). Values from VASP.

Results
**Total DFT energy (no corrections)**: -5.363 eV per atom
**Formation energy**: -0.734 eV per atom
**Space-group type**: P-4m2 (115)

Quantum ESPRESSO input file:
```
&SYSTEM
  ibrav = 0, nat = 10, ntyp = 4
/
ATOMIC_SPECIES
Mg 24.30 Mg.upf
Ga 69.72 Ga.upf
Pd 106.42 Pd.upf
Th 232.04 Th.upf
CELL_PARAMETERS angstrom
-2.700 -3.099 -0.757
2.448 -2.649 2.111
-5.532 2.491 9.540
ATOMIC_POSITIONS crystal
Mg 0.500 0.500 0.500
Ga 0.000 0.500 0.127
Ga 0.000 0.000 0.500
Ga 0.500 0.000 0.873
Pd 0.000 0.500 0.350
Pd 0.500 0.500 0.000
Pd 0.000 0.000 0.000
Pd 0.500 0.000 0.650
Th 0.000 0.500 0.762
Th 0.500 0.000 0.238
```

=====

# 11
Entry from Alexandria via LeMat-Bulk: a relaxed Cs2HfHgI6 crystal (GGA-PBE). Values from VASP.

Results
**Total DFT energy (no corrections)**: -3.189 eV per atom
**Energy above the lowest structure with this stoichiometry**: 0.024 eV/atom
**Energy relative to the elements, uncorrected**: -1.063 eV/atom
**Space-group type**: Fm-3m (225)

Quantum ESPRESSO input file:
```
&SYSTEM
  ibrav = 0, nat = 10, ntyp = 4
/
ATOMIC_SPECIES
Hg 200.59 Hg.upf
I 126.90 I.upf
Cs 132.91 Cs.upf
Hf 178.49 Hf.upf
CELL_PARAMETERS angstrom
-0.661 4.809 7.626
-8.044 -3.767 1.678
-1.473 -4.192 7.874
ATOMIC_POSITIONS crystal
Hg 0.000 0.000 0.000
I 0.724 0.724 0.000
I 0.276 0.724 0.000
I 0.724 0.276 0.000
I 0.276 0.276 0.000
I 0.276 0.276 0.447
I 0.724 0.724 0.553
Cs 0.750 0.250 0.500
Cs 0.250 0.750 0.500
Hf 0.500 0.500 0.000
```

=====

# 12
Entry from Alexandria via LeMat-Bulk: a relaxed Li2Tb2CeSn2 crystal (GGA-PBE). Values from VASP.

Results
**Total DFT energy (no corrections)**: -4.273 eV per atom
**Formation energy**: -0.412 eV per atom
**Space-group type**: R-3m (166)

Quantum ESPRESSO input file:
```
&SYSTEM
  ibrav = 0, nat = 7, ntyp = 4
/
ATOMIC_SPECIES
Tb 158.93 Tb.upf
Sn 118.71 Sn.upf
Li 6.94 Li.upf
Ce 140.12 Ce.upf
CELL_PARAMETERS angstrom
-1.288 1.555 4.397
-3.830 -1.944 2.228
3.588 -6.286 5.937
ATOMIC_POSITIONS crystal
Tb 0.870 0.870 0.389
Tb 0.130 0.130 0.611
Sn 0.739 0.739 0.783
Sn 0.261 0.261 0.217
Li 0.409 0.409 0.773
Li 0.591 0.591 0.227
Ce 0.000 0.000 0.000
```

=====

# 13
Entry from Alexandria via LeMat-Bulk: a relaxed CdHg3Pb12 crystal (GGA-PBE). Values from VASP.

Results
**Total DFT energy (no corrections)**: -2.879 eV per atom
**Formation energy**: 0.016 eV per atom
**Space-group type**: P4/mmm (123)

Quantum ESPRESSO input file:
```
&SYSTEM
  ibrav = 0, nat = 16, ntyp = 3
/
ATOMIC_SPECIES
Pb 207.20 Pb.upf
Hg 200.59 Hg.upf
Cd 112.41 Cd.upf
CELL_PARAMETERS angstrom
4.885 0.000 0.000
0.000 4.885 0.000
0.000 0.000 19.966
ATOMIC_POSITIONS crystal
Pb 0.000 0.500 0.375
Pb 0.500 0.500 0.750
Pb 0.500 0.500 0.500
Pb 0.500 0.000 0.876
Pb 0.000 0.500 0.876
Pb 0.500 0.000 0.375
Pb 0.500 0.500 0.250
Pb 0.000 0.500 0.625
Pb 0.500 0.500 0.000
Pb 0.500 0.000 0.124
Pb 0.500 0.000 0.625
Pb 0.000 0.500 0.124
Hg 0.000 0.000 0.749
Hg 0.000 0.000 0.500
Hg 0.000 0.000 0.251
Cd 0.000 0.000 0.000
```

=====

# 14
Entry from Alexandria via LeMat-Bulk: a relaxed La6As7 crystal (GGA-PBE). Values from VASP.

Results
**Total DFT energy (no corrections)**: -5.550 eV per atom
**Formation energy**: -0.772 eV per atom
**Space-group type**: R-3m (166)

Quantum ESPRESSO input file:
```
&SYSTEM
  ibrav = 0, nat = 13, ntyp = 2
/
ATOMIC_SPECIES
La 138.91 La.upf
As 74.92 As.upf
CELL_PARAMETERS angstrom
-3.589 9.801 7.548
-8.789 7.883 5.151
-6.447 5.050 9.942
ATOMIC_POSITIONS crystal
La 0.929 0.929 0.929
La 0.071 0.071 0.071
La 0.335 0.335 0.335
La 0.801 0.801 0.801
La 0.665 0.665 0.665
La 0.199 0.199 0.199
As 0.926 0.433 0.433
As 0.433 0.433 0.926
As 0.500 0.500 0.500
As 0.567 0.567 0.074
As 0.433 0.926 0.433
As 0.074 0.567 0.567
As 0.567 0.074 0.567
```

=====

# 15
Entry from Alexandria via LeMat-Bulk: a relaxed Ca2RhPbO6 crystal (GGA-PBE). Values from VASP.

Results
**Total DFT energy (no corrections)**: -6.164 eV per atom
**Energy relative to the elements, uncorrected**: -1.683 eV/atom
**Space-group type**: P2_1/c (14)

Quantum ESPRESSO input file:
```
&SYSTEM
  ibrav = 0, nat = 20, ntyp = 4
/
ATOMIC_SPECIES
O 16.00 O.upf
Rh 102.91 Rh.upf
Pb 207.20 Pb.upf
Ca 40.08 Ca.upf
CELL_PARAMETERS angstrom
5.583 0.000 -0.066
0.000 5.833 0.000
-0.046 0.000 8.019
ATOMIC_POSITIONS crystal
O 0.121 0.450 0.765
O 0.678 0.290 0.566
O 0.879 0.550 0.235
O 0.322 0.710 0.434
O 0.208 0.187 0.438
O 0.292 0.687 0.062
O 0.621 0.050 0.265
O 0.792 0.813 0.562
O 0.822 0.790 0.934
O 0.708 0.313 0.938
O 0.379 0.950 0.735
O 0.178 0.210 0.066
Rh 0.000 0.500 0.000
Rh 0.500 0.000 0.500
Pb 0.000 0.500 0.500
Pb 0.500 0.000 0.000
Ca 0.480 0.436 0.251
Ca 0.980 0.064 0.751
Ca 0.520 0.564 0.749
Ca 0.020 0.936 0.249
```

=====

# 16
Entry from Alexandria via LeMat-Bulk: a relaxed ZrCdIr3 crystal (GGA-PBE). Values from VASP.

Results
**Total DFT energy (no corrections)**: -5.861 eV per atom
**Energy above the lowest structure with this stoichiometry**: 0.000 eV/atom
**Formation energy**: 1.349 eV per atom
**Space-group type**: Pm-3m (221)

Quantum ESPRESSO input file:
```
&SYSTEM
  ibrav = 0, nat = 5, ntyp = 3
/
ATOMIC_SPECIES
Zr 91.22 Zr.upf
Ir 192.22 Ir.upf
Cd 112.41 Cd.upf
CELL_PARAMETERS angstrom
4.878 0.000 0.000
0.000 4.878 0.000
0.000 0.000 4.878
ATOMIC_POSITIONS crystal
Zr 0.000 0.000 0.000
Ir 0.000 0.500 0.000
Ir 0.000 0.000 0.500
Ir 0.500 0.000 0.000
Cd 0.500 0.500 0.500
```

=====

# 17
Entry from Alexandria via LeMat-Bulk: a relaxed TcNiBr2 crystal (GGA-PBE). Values from VASP.

Results
**Total DFT energy (no corrections)**: -4.187 eV per atom
**Energy above the lowest structure with this stoichiometry**: 0.523 eV/atom
**Energy relative to the elements, uncorrected**: 0.686 eV/atom
**Space-group type**: I-42d (122)

Quantum ESPRESSO input file:
```
&SYSTEM
  ibrav = 0, nat = 8, ntyp = 3
/
ATOMIC_SPECIES
Tc 98.00 Tc.upf
Br 79.90 Br.upf
Ni 58.69 Ni.upf
CELL_PARAMETERS angstrom
5.624 0.000 0.000
0.000 5.624 0.000
2.812 2.812 5.433
ATOMIC_POSITIONS crystal
Tc 0.750 0.250 0.500
Tc 0.000 0.000 0.000
Br 0.141 0.625 0.250
Br 0.875 0.859 0.750
Br 0.609 0.125 0.250
Br 0.375 0.391 0.750
Ni 0.500 0.500 0.000
Ni 0.250 0.750 0.500
```

=====

# 18
Entry from Alexandria via LeMat-Bulk: a relaxed NdGdZnFe crystal (GGA-PBE). Values from VASP.

Results
**Total DFT energy (no corrections)**: -7.174 eV per atom
**Formation energy**: -0.027 eV per atom
**Space-group type**: F-43m (216)

Quantum ESPRESSO input file:
```
&SYSTEM
  ibrav = 0, nat = 4, ntyp = 4
/
ATOMIC_SPECIES
Zn 65.41 Zn.upf
Gd 157.25 Gd.upf
Nd 144.24 Nd.upf
Fe 55.84 Fe.upf
CELL_PARAMETERS angstrom
-3.636 3.284 -1.135
-4.201 0.153 2.760
-0.881 3.920 3.024
ATOMIC_POSITIONS crystal
Zn 0.000 0.000 0.000
Gd 0.250 0.250 0.250
Nd 0.750 0.750 0.750
Fe 0.500 0.500 0.500
```

=====

# 19
Entry from Alexandria via LeMat-Bulk: a relaxed Y4Se3S crystal (GGA-PBE). Values from VASP.

Results
**Total DFT energy (no corrections)**: -6.883 eV per atom
**Energy above the lowest structure with this stoichiometry**: 0.000 eV/atom
**Energy relative to the elements, uncorrected**: -1.828 eV/atom
**Space-group type**: Cmmm (65)

Quantum ESPRESSO input file:
```
&SYSTEM
  ibrav = 0, nat = 8, ntyp = 3
/
ATOMIC_SPECIES
Se 78.96 Se.upf
S 32.06 S.upf
Y 88.91 Y.upf
CELL_PARAMETERS angstrom
4.020 0.000 0.000
0.000 6.667 -2.268
0.000 -0.050 7.042
ATOMIC_POSITIONS crystal
Se 0.000 0.000 0.500
Se 0.500 0.500 0.500
Se 0.000 0.500 0.000
S 0.500 0.000 0.000
Y 0.500 0.763 0.237
Y 0.000 0.771 0.771
Y 0.500 0.237 0.763
Y 0.000 0.229 0.229
```

=====

# 20
Entry from Alexandria via LeMat-Bulk: a relaxed Pm5Pr2 crystal (GGA-PBE). Values from VASP.

Results
**Total DFT energy (no corrections)**: -4.636 eV per atom
**Energy above the lowest structure with this stoichiometry**: 0.020 eV/atom
**Formation energy**: 0.122 eV per atom
**Space-group type**: R-3m (166)

Quantum ESPRESSO input file:
```
&SYSTEM
  ibrav = 0, nat = 7, ntyp = 2
/
ATOMIC_SPECIES
Pm 145.00 Pm.upf
Pr 140.91 Pr.upf
CELL_PARAMETERS angstrom
-1.619 4.836 -2.778
-3.998 -0.266 -4.204
-7.927 2.759 3.353
ATOMIC_POSITIONS crystal
Pm 0.227 0.227 0.318
Pm 0.085 0.085 0.744
Pm 0.500 0.500 0.500
Pm 0.915 0.915 0.256
Pm 0.773 0.773 0.682
Pr 0.636 0.636 0.093
Pr 0.364 0.364 0.907
```